Here is an optimized crystal structure of PmHoAu2 from Alexandria. Energies are from PBE.

DOS(E_F) ... 1.96 states/eV/f.u.
Energy relative to the lowest polymorph listed for this composition ... 0.016 eV per atom
Crystal system ... tetragonal
Final energy ... -4.8029 eV/atom

Cell and atoms, written as CIF:
```
data_PmHoAu2
_chemical_formula_sum 'Pm1 Ho1 Au2'
_space_group_name_H-M_alt 'P 4/m m m'
_space_group_IT_number 123
_space_group_name_Hall '-P 4 2'
_cell_length_a 3.6051
_cell_length_b 3.6051
_cell_length_c 7.3920
_cell_angle_alpha 90.00
_cell_angle_beta 90.00
_cell_angle_gamma 90.00
loop_
_atom_site_label
_atom_site_type_symbol
_atom_site_fract_x
_atom_site_fract_y
_atom_site_fract_z
_atom_site_occupancy
Pm1 Pm 0.0000 0.0000 0.0000 1
Ho1 Ho 0.0000 0.0000 0.5000 1
Au1 Au 0.5000 0.5000 0.2694 1
```